The following is a GGA+U calculation of a geometry-optimized K3NaCo2F8 structure, from Alexandria via LeMat-Bulk.

Results
Total energy in eV per atom: -4.593
N(E_F) in states/eV/cell: 0.00

Cell: 6.044 6.044 7.670 Å, 90.00 90.00 120.00°
Sites, in units of the cell vectors:
K  0.000  0.000  0.000
K  0.333  0.667  0.629
K  0.667  0.333  0.371
Na  0.000  0.000  0.500
Co  0.333  0.667  0.198
Co  0.667  0.333  0.802
F  0.169  0.338  0.314
F  0.169  0.831  0.314
F  0.333  0.667  0.952
F  0.338  0.169  0.686
F  0.662  0.831  0.314
F  0.667  0.333  0.048
F  0.831  0.169  0.686
F  0.831  0.662  0.686